[1]
This record from Alexandria describes crystalline BaMg2Co at its relaxed geometry. The functional is PBE.

```
BaMg2Co
1.0
-0.8482 -1.8410 2.6901
-1.6360 -2.1638 -1.9967
7.1838 -4.6102 -0.8898
Ba Co Mg
1 1 2
direct
0.5000 0.5000 0.2500
0.5000 0.5000 0.7500
0.0000 0.0000 0.9131
0.0000 0.0000 0.5869
```

Summary:
ΔH_f (0 K) = 0.261 eV per atom
Magnetic moment = 1.2 μB/f.u.

***

[2]
This record from Alexandria describes crystalline BaMg2Co at its relaxed geometry. The functional is PBE.

```
BaMg2Co
1.0
-4.1131 -0.5268 2.2424
-0.4027 -3.1958 3.4421
0.1059 2.7355 5.7581
Ba Co Mg
1 1 2
direct
0.5006 0.5006 0.5026
0.6795 0.6795 0.9588
0.0162 0.0162 0.9498
0.3038 0.3038 0.0888
```

Summary:
ΔH_f (0 K) = 0.213 eV per atom
Magnetic moment = 0.5 μB/f.u.

***

[3]
This record from Alexandria describes crystalline BaMgCo3 at its relaxed geometry. The functional is PBE.

```
BaMgCo3
1.0
4.8913 0.0000 0.0000
0.0000 4.8913 0.0000
0.0000 0.0000 4.8913
Mg Co Ba
1 3 1
direct
0.5000 0.5000 0.5000
0.0000 0.5000 0.0000
0.0000 0.0000 0.5000
0.5000 0.0000 0.0000
0.0000 0.0000 0.0000
```

Summary:
ΔH_f (0 K) = 1.948 eV per atom
Magnetic moment = 3.3 μB/f.u.

***

[4]
This record from Alexandria describes crystalline BaMgCo at its relaxed geometry. The functional is PBE.

```
BaMgCo
1.0
-3.6113 -1.2012 2.6056
1.8603 -3.0548 -2.9122
2.9445 -1.4570 3.4094
Ba Co Mg
1 1 1
direct
0.0000 0.0000 0.0001
0.6667 0.3333 0.4999
0.3333 0.6667 0.5000
```

Summary:
ΔH_f (0 K) = 0.407 eV per atom
Magnetic moment = 0.8 μB/f.u.

***

[5]
This record from Alexandria describes crystalline BaMg2Co at its relaxed geometry. The functional is PBE.

```
BaMg2Co
1.0
5.5212 0.0000 0.0000
0.0000 5.5212 0.0000
2.7606 2.7606 8.6448
Mg Co Ba
4 2 2
direct
0.3746 0.1250 0.2500
0.3754 0.6250 0.2500
0.3750 0.6254 0.7500
0.8750 0.6246 0.7500
0.5000 0.5000 0.0000
0.2500 0.7500 0.5000
0.0000 0.0000 0.0000
0.7500 0.2500 0.5000
```

Summary:
ΔH_f (0 K) = 0.496 eV per atom
Magnetic moment = 0.8 μB/f.u.

***

[6]
This record from Alexandria describes crystalline BaMg2Co at its relaxed geometry. The functional is PBE.

```
BaMg2Co
1.0
6.1128 -0.1961 0.0000
-2.9838 5.3387 0.0000
0.0000 0.0000 3.2065
Ba Co Mg
1 1 2
direct
0.5000 0.0000 0.5000
0.0000 0.5000 0.5000
0.0000 0.0000 0.0000
0.5000 0.5000 0.0000
```

Summary:
ΔH_f (0 K) = 0.638 eV per atom
Magnetic moment = 1.2 μB/f.u.

***

[7]
This record from Alexandria describes crystalline Ba2MgCo at its relaxed geometry. The functional is PBE.

```
Ba2MgCo
1.0
5.5751 0.0000 0.0000
2.7875 4.8282 0.0000
2.7875 1.6094 4.5520
Ba Co Mg
2 1 1
direct
0.0000 0.0000 0.0000
0.2500 0.2500 0.2500
0.5000 0.5000 0.5000
0.7500 0.7500 0.7500
```

Summary:
ΔH_f (0 K) = 0.531 eV per atom
Magnetic moment = 1.4 μB/f.u.

***

[8]
This record from Alexandria describes crystalline Ba2MgCo at its relaxed geometry. The functional is PBE.

```
Ba2MgCo
1.0
-1.6988 -3.5240 1.9961
-1.4925 -3.5573 -2.0994
7.9357 -5.8346 0.4470
Ba Co Mg
2 1 1
direct
0.0176 0.0176 0.9405
0.4824 0.4824 0.5595
0.7500 0.7500 0.7500
0.2500 0.2500 0.2500
```

Summary:
ΔH_f (0 K) = 0.448 eV per atom
Magnetic moment = 0.6 μB/f.u.

***

[9]
This record from Alexandria describes crystalline BaMg2Co at its relaxed geometry. The functional is PBE.

```
BaMg2Co
1.0
3.9691 2.5947 2.2546
-0.6748 2.2750 4.6838
2.3593 -1.9881 4.2485
Mg Co Ba
2 1 1
direct
0.2500 0.2500 0.2500
0.7500 0.7500 0.7500
0.0000 0.0000 0.0000
0.5000 0.5000 0.5000
```

Summary:
ΔH_f (0 K) = 0.504 eV per atom
Magnetic moment = 1.3 μB/f.u.

***

[10]
This record from Alexandria describes crystalline BaMg2Co at its relaxed geometry. The functional is PBE.

```
BaMg2Co
1.0
-0.2521 3.6145 -2.4818
-2.2986 1.7686 2.8093
4.1971 3.2129 4.2530
Ba Co Mg
1 1 2
direct
0.0000 0.5217 0.5746
0.5000 0.9006 0.8216
0.0000 0.8066 0.0176
0.5000 0.2712 0.0861
```

Summary:
ΔH_f (0 K) = 0.281 eV per atom
Magnetic moment = 0.7 μB/f.u.

***

[11]
This record from Alexandria describes crystalline Ba2MgCo at its relaxed geometry. The functional is PBE.

```
Ba2MgCo
1.0
-3.9246 -0.1152 -0.3525
-0.3054 -1.1141 3.7691
-0.4624 8.3312 2.4250
Ba Co Mg
2 1 1
direct
0.0000 0.0000 0.0405
0.0000 0.0000 0.4595
0.5000 0.5000 0.2500
0.5000 0.5000 0.7500
```

Summary:
ΔH_f (0 K) = 0.334 eV per atom
Magnetic moment = 0.8 μB/f.u.

***

[12]
This record from Alexandria describes crystalline BaMgCo3 at its relaxed geometry. The functional is PBE.

```
BaMgCo3
1.0
-1.1278 4.0447 2.3073
-4.4158 -1.6825 0.7909
1.4779 -1.9404 4.1239
Mg Co Ba
1 3 1
direct
0.0000 0.0000 0.0000
0.0000 0.5000 0.0000
0.0000 0.0000 0.5000
0.5000 0.0000 0.0000
0.5000 0.5000 0.5000
```

Summary:
ΔH_f (0 K) = 1.070 eV per atom
Magnetic moment = 4.2 μB/f.u.